1) Compound: SbHRhI2
Source: Alexandria
Functional: PBE
Structure: optimized geometry

Computed properties:
total magnetic moment	0.89	μB/f.u.

a = 5.668 Å, b = 5.668 Å, c = 4.937 Å
α = 90.00°, β = 90.00°, γ = 90.00°
Space group P4/mmm (No. 123)
Symmetry-distinct sites (fractional):
1 Sb 0.000 0.000 0.000
2 H 0.500 0.500 0.000
3 Rh 0.000 0.000 0.500
4 I 0.000 0.500 0.500

---

2) Compound: SbHRhI2
Source: Alexandria
Functional: PBE
Structure: optimized geometry

Computed properties:
total magnetic moment	0.00	μB/f.u.

a = 5.515 Å, b = 5.515 Å, c = 3.573 Å
α = 90.00°, β = 90.00°, γ = 90.00°
Space group P4/mmm (No. 123)
Symmetry-distinct sites (fractional):
1 Sb 0.000 0.000 0.000
2 H 0.500 0.500 0.500
3 Rh 0.500 0.500 0.000
4 I 0.000 0.500 0.500

---

Which of them is the most stable, and which is the least stable? 1) and 2), in that order.

---

1) Compound: Te2HRhI
Source: Alexandria
Functional: PBE
Structure: optimized geometry

Computed properties:
total magnetic moment	0.93	μB/f.u.

a = 5.161 Å, b = 5.161 Å, c = 5.794 Å
α = 90.00°, β = 90.00°, γ = 90.00°
Space group P4/mmm (No. 123)
Symmetry-distinct sites (fractional):
1 Te 0.000 0.500 0.000
2 H 0.000 0.000 0.500
3 Rh 0.500 0.500 0.000
4 I 0.500 0.500 0.500

---

2) Compound: Te2HRhI
Source: Alexandria
Functional: PBE
Structure: optimized geometry

Computed properties:
total magnetic moment	1.47	μB/f.u.

a = 4.232 Å, b = 4.232 Å, c = 7.578 Å
α = 90.00°, β = 90.00°, γ = 90.00°
Space group P4/mmm (No. 123)
Symmetry-distinct sites (fractional):
1 Te 0.000 0.500 0.000
2 H 0.000 0.000 0.000
3 Rh 0.500 0.500 0.500
4 I 0.000 0.000 0.500

---

Which of them is the most stable, and which is the least stable? 1) and 2), in that order.